This record from the Alexandria database describes SmDy3Tl4S8 after structural relaxation. The functional is PBE-GGA.

Properties
DOS(E_F)   0.0 states/eV/f.u.
Total DFT energy (no corrections)   -254.2 eV per cell

Unit cell a=8.1101 b=8.1101 c=22.5492 alpha=90.00 beta=90.00 gamma=120.00
Space group R-3m (No. 166, hexagonal axes)
Symmetry-distinct sites (fractional):
Sm (0.0000, 0.0000, 0.0000) (multiplicity 3)
Dy (0.0000, 0.5000, 0.0000) (multiplicity 9)
Tl (0.0000, 0.0000, 0.5000) (multiplicity 3)
Tl (0.0000, 0.5000, 0.5000) (multiplicity 9)
S (0.0000, 0.0000, 0.2676) (multiplicity 6)
S (0.0050, 0.5025, 0.2669) (multiplicity 18)

This record from the Alexandria database describes Ce2SiPt3 after structural relaxation. The functional is PBE-GGA.

Properties
DOS(E_F)   8.6 states/eV/f.u.
Total DFT energy (no corrections)   -41.9 eV per cell

Unit cell a=3.653 b=4.323 c=7.869 alpha=90.00 beta=90.00 gamma=90.00
Space group Pmm2 (No. 25)
Symmetry-distinct sites (fractional):
Ce (0.000, 0.000, 0.000) (multiplicity 1)
Ce (0.000, 0.500, 0.486) (multiplicity 1)
Si (0.500, 0.500, 0.816) (multiplicity 1)
Pt (0.500, 0.000, 0.339) (multiplicity 1)
Pt (0.500, 0.000, 0.684) (multiplicity 1)
Pt (0.500, 0.500, 0.123) (multiplicity 1)

This record from the Alexandria database describes Na2CaZrSe4 after structural relaxation. The functional is PBE-GGA.

Properties
Total DFT energy (no corrections)   -38.8 eV per cell

Unit cell a=7.130 b=4.053 c=7.327 alpha=90.00 beta=108.08 gamma=90.00
Space group P2/m (No. 10)
Symmetry-distinct sites (fractional):
Na (0.000, 0.000, 0.000) (multiplicity 1)
Na (0.500, 0.500, 0.000) (multiplicity 1)
Ca (0.000, 0.500, 0.500) (multiplicity 1)
Zr (0.500, 0.000, 0.500) (multiplicity 1)
Se (0.265, 0.000, 0.727) (multiplicity 2)
Se (0.277, 0.500, 0.278) (multiplicity 2)

This record from the Alexandria database describes Na3Ge2H6 after structural relaxation. The functional is PBE-GGA.

Properties
DOS(E_F)   2.4 states/eV/f.u.
Total DFT energy (no corrections)   -66.3 eV per cell

Unit cell a=8.739 b=4.809 c=9.113 alpha=90.00 beta=113.90 gamma=90.00
Space group C2/m (No. 12)
Symmetry-distinct sites (fractional):
Na (0.000, 0.000, 0.000) (multiplicity 2)
Na (0.234, 0.000, 0.633) (multiplicity 4)
Ge (0.103, 0.500, 0.761) (multiplicity 4)
H (0.164, 0.500, 0.613) (multiplicity 4)
H (0.241, 0.262, 0.859) (multiplicity 8)

This record from the Alexandria database describes BaNa2Ca4 after structural relaxation. The functional is PBE-GGA.

Properties
Offset from the most stable computed form   555.9 meV/atom
DOS(E_F)   6.6 states/eV/f.u.
E_form   0.59 eV per atom

Unit cell a=6.428 b=6.428 c=17.465 alpha=90.00 beta=90.00 gamma=90.00
Space group I4/mmm (No. 139)
Symmetry-distinct sites (fractional):
Ba (0.000, 0.000, 0.000) (multiplicity 2)
Na (0.000, 0.000, 0.401) (multiplicity 4)
Ca (0.000, 0.000, 0.201) (multiplicity 4)
Ca (0.000, 0.500, 0.000) (multiplicity 4)

This record from the Alexandria database describes BeAgN after structural relaxation. The functional is PBE-GGA.

Properties
DOS(E_F)   0.5 states/eV/f.u.
Total DFT energy (no corrections)   -27.8 eV per cell

Unit cell a=4.2138 b=4.2138 c=5.9877 alpha=90.00 beta=90.00 gamma=120.00
Space group P6_3/mmc (No. 194)
Symmetry-distinct sites (fractional):
Be (0.0000, 0.0000, 0.2500) (multiplicity 2)
Ag (0.3333, 0.6667, 0.2500) (multiplicity 2)
N (0.0000, 0.0000, 0.0000) (multiplicity 2)